# 1
Here is a relaxed DyTc2O8 crystal from Alexandria. Energies are from GGA-PBE.

Calculated values
Distance to the lowest polymorph of the same formula   132 kJ/mol of formula units
Total magnetic moment   1.1 μB per formula unit
Uncorrected formation energy   -1.760 eV per atom
Energy   -7.67 eV/atom

Cell lengths 6.3562, 6.3562, 5.6107 Å; angles 95.27, 95.27, 89.38 degrees
Element x y z (fractional)
Dy (0.0000, 0.0000, 0.0000)
Tc (0.2345, 0.2345, 0.6391)
Tc (0.7655, 0.7655, 0.3609)
O (0.0021, 0.7072, 0.2156)
O (0.1761, 0.1761, 0.3233)
O (0.2928, 0.9979, 0.7844)
O (0.4229, 0.4229, 0.7235)
O (0.5771, 0.5771, 0.2765)
O (0.7072, 0.0021, 0.2156)
O (0.8239, 0.8239, 0.6767)
O (0.9979, 0.2928, 0.7844)

# 2
Here is a relaxed Dy3TcO7 crystal from Alexandria. Energies are from GGA-PBE.

Calculated values
Total magnetic moment   2.0 μB per formula unit
Uncorrected formation energy   -2.898 eV per atom
Energy   -8.25 eV/atom

Cell lengths 6.4737, 6.4737, 7.4182 Å; angles 90.00, 90.00, 108.49 degrees
Element x y z (fractional)
Dy (0.0377, 0.4996, 0.2585)
Dy (0.0419, 0.0419, 0.0000)
Dy (0.4996, 0.0377, 0.7415)
Dy (0.5004, 0.9623, 0.2415)
Dy (0.9581, 0.9581, 0.5000)
Dy (0.9623, 0.5004, 0.7585)
Tc (0.4979, 0.4979, 0.5000)
Tc (0.5021, 0.5021, 0.0000)
O (0.1299, 0.8701, 0.7500)
O (0.1380, 0.8620, 0.2500)
O (0.1729, 0.4182, 0.9763)
O (0.1961, 0.4537, 0.5416)
O (0.4182, 0.1729, 0.0237)
O (0.4282, 0.5718, 0.2500)
O (0.4537, 0.1961, 0.4584)
O (0.5463, 0.8039, 0.9584)
O (0.5718, 0.4282, 0.7500)
O (0.5818, 0.8271, 0.5237)
O (0.8039, 0.5463, 0.0416)
O (0.8271, 0.5818, 0.4763)
O (0.8620, 0.1380, 0.7500)
O (0.8701, 0.1299, 0.2500)

# 3
Here is a relaxed Dy2TcO6 crystal from Alexandria. Energies are from GGA-PBE.

Calculated values
Total magnetic moment   1.0 μB per formula unit
Uncorrected formation energy   -2.519 eV per atom
Energy   -8.00 eV/atom

Cell lengths 4.9919, 4.9919, 9.9887 Å; angles 90.00, 90.00, 90.00 degrees
Element x y z (fractional)
Dy (0.0000, 0.0000, 0.1719)
Dy (0.0000, 0.0000, 0.8281)
Dy (0.5000, 0.5000, 0.3281)
Dy (0.5000, 0.5000, 0.6719)
Tc (0.0000, 0.0000, 0.5000)
Tc (0.5000, 0.5000, 0.0000)
O (0.1870, 0.1870, 0.3532)
O (0.1870, 0.1870, 0.6468)
O (0.2315, 0.2315, 0.0000)
O (0.2685, 0.7315, 0.5000)
O (0.3130, 0.6870, 0.1468)
O (0.3130, 0.6870, 0.8532)
O (0.6870, 0.3130, 0.1468)
O (0.6870, 0.3130, 0.8532)
O (0.7315, 0.2685, 0.5000)
O (0.7685, 0.7685, 0.0000)
O (0.8130, 0.8130, 0.3532)
O (0.8130, 0.8130, 0.6468)

# 4
Here is a relaxed DyTcO crystal from Alexandria. Energies are from GGA-PBE.

Calculated values
Total magnetic moment   0.0 μB per formula unit
Uncorrected formation energy   -1.514 eV per atom
Energy   -8.16 eV/atom

Cell lengths 3.7816, 3.7816, 9.2795 Å; angles 90.08, 90.08, 60.21 degrees
Element x y z (fractional)
Dy (0.1663, 0.1663, 0.3240)
Dy (0.8337, 0.8337, 0.6760)
Tc (0.1675, 0.1675, 0.9476)
Tc (0.8325, 0.8325, 0.0524)
O (0.1678, 0.1678, 0.7203)
O (0.8322, 0.8322, 0.2797)

# 5
Here is a relaxed Dy6TcO12 crystal from Alexandria. Energies are from GGA-PBE.

Calculated values
Total magnetic moment   1.0 μB per formula unit
Uncorrected formation energy   -3.128 eV per atom
Energy   -8.26 eV/atom

Cell lengths 6.4721, 6.4721, 6.4721 Å; angles 98.59, 98.59, 98.59 degrees
Element x y z (fractional)
Dy (0.1116, 0.6439, 0.8144)
Dy (0.1856, 0.8884, 0.3561)
Dy (0.3561, 0.1856, 0.8884)
Dy (0.6439, 0.8144, 0.1116)
Dy (0.8144, 0.1116, 0.6439)
Dy (0.8884, 0.3561, 0.1856)
Tc (0.5000, 0.5000, 0.5000)
O (0.0663, 0.3226, 0.9093)
O (0.0907, 0.9337, 0.6774)
O (0.2037, 0.5352, 0.4256)
O (0.3226, 0.9093, 0.0663)
O (0.4256, 0.2037, 0.5352)
O (0.4648, 0.5744, 0.7963)
O (0.5352, 0.4256, 0.2037)
O (0.5744, 0.7963, 0.4648)
O (0.6774, 0.0907, 0.9337)
O (0.7963, 0.4648, 0.5744)
O (0.9093, 0.0663, 0.3226)
O (0.9337, 0.6774, 0.0907)

# 6
Here is a relaxed DyTcO4 crystal from Alexandria. Energies are from GGA-PBE.

Calculated values
Distance to the lowest polymorph of the same formula   39 kJ/mol of formula units
Total magnetic moment   1.7 μB per formula unit
Uncorrected formation energy   -2.231 eV per atom
Energy   -8.03 eV/atom

Cell lengths 5.8030, 4.9659, 5.7322 Å; angles 90.00, 109.82, 90.00 degrees
Element x y z (fractional)
Dy (0.0000, 0.0000, 0.0000)
Dy (0.0000, 0.5000, 0.5000)
Tc (0.5000, 0.0000, 0.5000)
Tc (0.5000, 0.5000, 0.0000)
O (0.1740, 0.1523, 0.3863)
O (0.1740, 0.3477, 0.8863)
O (0.3822, 0.7159, 0.6817)
O (0.3822, 0.7841, 0.1817)
O (0.6178, 0.2159, 0.8183)
O (0.6178, 0.2841, 0.3183)
O (0.8260, 0.6523, 0.1137)
O (0.8260, 0.8477, 0.6137)

# 7
Here is a relaxed DyTl2TcO6 crystal from Alexandria. Energies are from GGA-PBE.

Calculated values
Total magnetic moment   0.0 μB per formula unit
Uncorrected formation energy   -1.531 eV per atom
Energy   -6.48 eV/atom

Cell lengths 6.4548, 6.4548, 5.7826 Å; angles 90.00, 90.00, 120.00 degrees
Element x y z (fractional)
Dy (0.0000, 0.0000, 0.0000)
Tl (0.3333, 0.6667, 0.4745)
Tl (0.6667, 0.3333, 0.5255)
Tc (0.0000, 0.0000, 0.5000)
O (0.1357, 0.2714, 0.7028)
O (0.1357, 0.8643, 0.7028)
O (0.2714, 0.1357, 0.2972)
O (0.7286, 0.8643, 0.7028)
O (0.8643, 0.1357, 0.2972)
O (0.8643, 0.7286, 0.2972)

# 8
Here is a relaxed Dy2Tl2TcO6 crystal from Alexandria. Energies are from GGA-PBE.

Calculated values
Total magnetic moment   3.0 μB per formula unit
Uncorrected formation energy   -2.059 eV per atom
Energy   -6.97 eV/atom

Cell lengths 5.8125, 5.8125, 6.7933 Å; angles 97.41, 97.41, 119.84 degrees
Element x y z (fractional)
Dy (0.1655, 0.8345, 0.0000)
Dy (0.8345, 0.1655, 0.0000)
Tl (0.3370, 0.6630, 0.5000)
Tl (0.6630, 0.3370, 0.5000)
Tc (0.5000, 0.5000, 0.0000)
O (0.1436, 0.4537, 0.8383)
O (0.2479, 0.2479, 0.1689)
O (0.4537, 0.1436, 0.8383)
O (0.5463, 0.8564, 0.1617)
O (0.7521, 0.7521, 0.8311)
O (0.8564, 0.5463, 0.1617)

# 9
Here is a relaxed DyTlTcO6 crystal from Alexandria. Energies are from GGA-PBE.

Calculated values
Total magnetic moment   0.0 μB per formula unit
Uncorrected formation energy   -1.672 eV per atom
Energy   -6.90 eV/atom

Cell lengths 5.5509, 5.5509, 4.7899 Å; angles 90.00, 90.00, 120.00 degrees
Element x y z (fractional)
Dy (0.0000, 0.0000, 0.0000)
Tl (0.3333, 0.6667, 0.5000)
Tc (0.6667, 0.3333, 0.0000)
O (0.3748, 0.0535, 0.7725)
O (0.3748, 0.3213, 0.2275)
O (0.6787, 0.0535, 0.2275)
O (0.6787, 0.6252, 0.7725)
O (0.9465, 0.3213, 0.7725)
O (0.9465, 0.6252, 0.2275)

# 10
Here is a relaxed DyTm2TcO8 crystal from Alexandria. Energies are from GGA-PBE.

Calculated values
Total magnetic moment   0.0 μB per formula unit
Uncorrected formation energy   -2.673 eV per atom
Energy   -7.97 eV/atom

Cell lengths 4.9957, 4.9957, 6.6725 Å; angles 90.00, 90.00, 90.51 degrees
Element x y z (fractional)
Dy (0.0000, 0.0000, 0.0000)
Tm (0.5000, 0.5000, 0.2480)
Tm (0.5000, 0.5000, 0.7520)
Tc (0.0000, 0.0000, 0.5000)
O (0.1843, 0.8157, 0.2918)
O (0.1843, 0.8157, 0.7082)
O (0.2718, 0.2718, 0.5000)
O (0.3092, 0.3092, 0.0000)
O (0.6908, 0.6908, 0.0000)
O (0.7282, 0.7282, 0.5000)
O (0.8157, 0.1843, 0.2918)
O (0.8157, 0.1843, 0.7082)

# 11
Here is a relaxed DyTe2O5 crystal from Alexandria. Energies are from GGA-PBE.

Calculated values
Total magnetic moment   0.0 μB per formula unit
Uncorrected formation energy   -1.684 eV per atom
Energy   -6.14 eV/atom

Cell lengths 7.3559, 10.7030, 7.0724 Å; angles 90.00, 90.00, 90.00 degrees
Element x y z (fractional)
Dy (0.0000, 0.0555, 0.2500)
Dy (0.0000, 0.9445, 0.7500)
Dy (0.5000, 0.4445, 0.7500)
Dy (0.5000, 0.5555, 0.2500)
Te (0.1072, 0.3513, 0.0167)
Te (0.1072, 0.6487, 0.5167)
Te (0.3928, 0.1487, 0.5167)
Te (0.3928, 0.8513, 0.0167)
Te (0.6072, 0.1487, 0.9833)
Te (0.6072, 0.8513, 0.4833)
Te (0.8928, 0.3513, 0.4833)
Te (0.8928, 0.6487, 0.9833)
O (0.0000, 0.4382, 0.2500)
O (0.0000, 0.5618, 0.7500)
O (0.1591, 0.0652, 0.5296)
O (0.1591, 0.9348, 0.0296)
O (0.1843, 0.2129, 0.1709)
O (0.1843, 0.7871, 0.6709)
O (0.3157, 0.2871, 0.6709)
O (0.3157, 0.7129, 0.1709)
O (0.3409, 0.4348, 0.0296)
O (0.3409, 0.5652, 0.5296)
O (0.5000, 0.0618, 0.7500)
O (0.5000, 0.9382, 0.2500)
O (0.6591, 0.4348, 0.4704)
O (0.6591, 0.5652, 0.9704)
O (0.6843, 0.2871, 0.8291)
O (0.6843, 0.7129, 0.3291)
O (0.8157, 0.2129, 0.3291)
O (0.8157, 0.7871, 0.8291)
O (0.8409, 0.0652, 0.9704)
O (0.8409, 0.9348, 0.4704)

# 12
Here is a relaxed Dy3Te2O2 crystal from Alexandria. Energies are from GGA-PBE.

Calculated values
Total magnetic moment   0.0 μB per formula unit
Uncorrected formation energy   -2.100 eV per atom
Energy   -6.39 eV/atom

Cell lengths 3.6804, 5.8434, 7.8432 Å; angles 101.14, 90.23, 108.19 degrees
Element x y z (fractional)
Dy (0.0000, 0.0000, 0.0000)
Dy (0.2191, 0.4395, 0.7930)
Dy (0.7809, 0.5605, 0.2070)
Te (0.1157, 0.2247, 0.3703)
Te (0.8843, 0.7753, 0.6297)
O (0.3634, 0.7258, 0.0462)
O (0.6366, 0.2742, 0.9538)

# 13
Here is a relaxed Dy2Te5O13 crystal from Alexandria. Energies are from GGA-PBE.

Calculated values
Total magnetic moment   0.0 μB per formula unit
Uncorrected formation energy   -1.741 eV per atom
Energy   -6.21 eV/atom

Cell lengths 7.0420, 8.7811, 10.8035 Å; angles 89.45, 87.48, 75.14 degrees
Element x y z (fractional)
Dy (0.9996, 0.2368, 0.2383)
Dy (0.0004, 0.7632, 0.7617)
Dy (0.4462, 0.9728, 0.8216)
Dy (0.5538, 0.0272, 0.1784)
Te (0.1214, 0.8507, 0.1077)
Te (0.1537, 0.3038, 0.6448)
Te (0.2716, 0.8943, 0.4894)
Te (0.2915, 0.3746, 0.9777)
Te (0.4412, 0.3991, 0.3010)
Te (0.5588, 0.6009, 0.6990)
Te (0.7085, 0.6254, 0.0223)
Te (0.7284, 0.1057, 0.5106)
Te (0.8463, 0.6962, 0.3552)
Te (0.8786, 0.1493, 0.8923)
O (0.0439, 0.8505, 0.5670)
O (0.0609, 0.3165, 0.0382)
O (0.0654, 0.5166, 0.6932)
O (0.0672, 0.7652, 0.2753)
O (0.1225, 0.9891, 0.8937)
O (0.2367, 0.9944, 0.1871)
O (0.3146, 0.2345, 0.2857)
O (0.3268, 0.2409, 0.7764)
O (0.3276, 0.7289, 0.7770)
O (0.3362, 0.0150, 0.6191)
O (0.3506, 0.4802, 0.1257)
O (0.4583, 0.6952, 0.5217)
O (0.4664, 0.1696, 0.9994)
O (0.5336, 0.8304, 0.0006)
O (0.5417, 0.3048, 0.4783)
O (0.6494, 0.5198, 0.8743)
O (0.6638, 0.9850, 0.3809)
O (0.6724, 0.2711, 0.2230)
O (0.6732, 0.7591, 0.2236)
O (0.6854, 0.7655, 0.7143)
O (0.7633, 0.0056, 0.8129)
O (0.8775, 0.0109, 0.1063)
O (0.9328, 0.2348, 0.7247)
O (0.9346, 0.4834, 0.3068)
O (0.9391, 0.6835, 0.9618)
O (0.9561, 0.1495, 0.4330)

# 14
Here is a relaxed Dy2TeO crystal from Alexandria. Energies are from GGA-PBE.

Calculated values
Distance to the lowest polymorph of the same formula   23 kJ/mol of formula units
Total magnetic moment   0.0 μB per formula unit
Uncorrected formation energy   -1.888 eV per atom
Energy   -6.21 eV/atom

Cell lengths 7.1294, 7.1294, 7.1294 Å; angles 30.70, 30.70, 30.70 degrees
Element x y z (fractional)
Dy (0.2270, 0.2270, 0.2270)
Dy (0.7730, 0.7730, 0.7730)
Te (0.0000, 0.0000, 0.0000)
O (0.5000, 0.5000, 0.5000)

# 15
Here is a relaxed Dy2TeO crystal from Alexandria. Energies are from GGA-PBE.

Calculated values
Distance to the lowest polymorph of the same formula   0 kJ/mol of formula units
Total magnetic moment   0.0 μB per formula unit
Uncorrected formation energy   -1.948 eV per atom
Energy   -6.27 eV/atom

Cell lengths 8.0057, 6.6060, 6.7525 Å; angles 90.00, 93.45, 90.00 degrees
Element x y z (fractional)
Dy (0.0609, 0.1716, 0.3441)
Dy (0.0609, 0.3284, 0.8441)
Dy (0.3019, 0.6415, 0.5532)
Dy (0.3019, 0.8585, 0.0532)
Dy (0.6981, 0.1415, 0.9468)
Dy (0.6981, 0.3585, 0.4468)
Dy (0.9391, 0.6716, 0.1559)
Dy (0.9391, 0.8284, 0.6559)
Te (0.3624, 0.1222, 0.6828)
Te (0.3624, 0.3778, 0.1828)
Te (0.6376, 0.6222, 0.8172)
Te (0.6376, 0.8778, 0.3172)
O (0.1248, 0.6639, 0.8567)
O (0.1248, 0.8361, 0.3567)
O (0.8752, 0.1639, 0.6433)
O (0.8752, 0.3361, 0.1433)

# 16
Here is a relaxed DyTeO4 crystal from Alexandria. Energies are from GGA-PBE.

Calculated values
Distance to the lowest polymorph of the same formula   210 kJ/mol of formula units
Total magnetic moment   0.0 μB per formula unit
Uncorrected formation energy   -1.657 eV per atom
Energy   -6.25 eV/atom

Cell lengths 5.3698, 5.3698, 5.3698 Å; angles 95.26, 95.26, 144.74 degrees
Element x y z (fractional)
Dy (0.0000, 0.0000, 0.0000)
Te (0.2500, 0.7500, 0.5000)
O (0.3064, 0.5212, 0.7190)
O (0.4126, 0.6936, 0.2148)
O (0.4788, 0.1978, 0.7852)
O (0.8022, 0.5874, 0.2810)

# 17
Here is a relaxed Dy2TeO2 crystal from Alexandria. Energies are from GGA-PBE.

Calculated values
Total magnetic moment   0.0 μB per formula unit
Uncorrected formation energy   -2.972 eV per atom
Energy   -7.42 eV/atom

Cell lengths 6.8516, 6.8516, 6.8516 Å; angles 146.64, 146.64, 47.90 degrees
Element x y z (fractional)
Dy (0.1627, 0.1627, 0.0000)
Dy (0.8373, 0.8373, 0.0000)
Te (0.5000, 0.5000, 0.0000)
O (0.2500, 0.7500, 0.5000)
O (0.7500, 0.2500, 0.5000)

# 18
Here is a relaxed DyTe2O8 crystal from Alexandria. Energies are from GGA-PBE.

Calculated values
Total magnetic moment   0.0 μB per formula unit
Uncorrected formation energy   -1.074 eV per atom
Energy   -5.67 eV/atom

Cell lengths 6.5971, 6.5971, 6.5971 Å; angles 133.80, 133.80, 67.39 degrees
Element x y z (fractional)
Dy (0.0000, 0.0000, 0.0000)
Te (0.2500, 0.7500, 0.5000)
Te (0.7500, 0.2500, 0.5000)
O (0.0557, 0.5671, 0.8936)
O (0.1621, 0.0557, 0.4886)
O (0.3265, 0.4329, 0.4886)
O (0.4329, 0.9443, 0.1064)
O (0.5671, 0.6735, 0.5114)
O (0.6735, 0.1621, 0.1064)
O (0.8379, 0.3265, 0.8936)
O (0.9443, 0.8379, 0.5114)

# 19
Here is a relaxed Dy2TeO3 crystal from Alexandria. Energies are from GGA-PBE.

Calculated values
Total magnetic moment   0.0 μB per formula unit
Uncorrected formation energy   -2.786 eV per atom
Energy   -7.32 eV/atom

Cell lengths 6.5812, 6.5812, 9.6681 Å; angles 114.50, 114.50, 34.08 degrees
Element x y z (fractional)
Dy (0.0243, 0.0243, 0.2678)
Dy (0.3408, 0.3408, 0.9403)
Dy (0.6592, 0.6592, 0.0597)
Dy (0.9757, 0.9757, 0.7322)
Te (0.3660, 0.3660, 0.4216)
Te (0.6340, 0.6340, 0.5784)
O (0.1546, 0.1546, 0.9211)
O (0.1987, 0.1987, 0.2353)
O (0.4805, 0.4805, 0.8464)
O (0.5195, 0.5195, 0.1536)
O (0.8013, 0.8013, 0.7647)
O (0.8454, 0.8454, 0.0789)